Material: NiO2
Method: DFT, GGA+U
State: optimized geometry

Values from the calculation:
symmetry	I4/m
volume	128.1	Å³/cell
calculated total energy	-4.505	eV/atom
magnetization	0.03	μB per cell

```
NiO2
1.0
-4.753 4.753 1.418
4.753 -4.753 1.418
4.753 4.753 -1.418
Ni O
4 8
Cartesian
6.187 1.594 0.000 Ni
1.594 3.319 0.000 Ni
3.159 1.434 1.418 Ni
-1.434 3.159 1.418 Ni
3.114 -0.423 1.418 O
4.330 1.639 0.000 O
0.423 3.114 1.418 O
1.639 5.176 0.000 O
1.463 7.597 0.000 O
2.844 3.290 1.418 O
3.290 -2.844 1.418 O
1.909 1.463 0.000 O
```